# Lu2Sb2O5

Crystalline Lu2Sb2O5 at its relaxed geometry (PBE, the Open Quantum Materials Database).

ρ in kg/m3: 8548
Distance to the lowest polymorph of the same formula in meV per atom: 589
Electronic total energy in eV/atom: -6.206
Symmetry: No. 123

a = 3.942 Å, b = 3.942 Å, c = 8.417 Å
α = 90.00°, β = 90.00°, γ = 90.00°
Sites, in units of the cell vectors:
Lu (0.000, 0.000, 0.000)
Lu (0.000, 0.000, 0.500)
Sb (0.500, 0.500, 0.246)
Sb (0.500, 0.500, 0.754)
O (0.000, 0.500, 0.322)
O (0.000, 0.500, 0.678)
O (0.500, 0.000, 0.322)
O (0.500, 0.000, 0.678)
O (0.500, 0.500, 0.500)